Entry 1:
SrTl2Ru | Alexandria via LeMat-Bulk | PBE-GGA | optimized geometry; total DFT energy (no corrections) = -3.69 eV per atom; crystal system = monoclinic; E_form = 91 kJ/mol of formula units
1.0
3.608 0.000 0.000
0.000 4.566 0.000
-1.687 0.000 6.225
Sr Tl Ru
1 2 1
direct
0.000 0.000 0.000
0.368 0.500 0.710
0.632 0.500 0.290
0.000 0.000 0.500

***

Entry 2:
Li2Ca2NdSi2 | Alexandria via LeMat-Bulk | PBE-GGA | optimized geometry; E_form (uncorrected) = -373 meV per atom; total DFT energy (no corrections) = -3.72 eV per atom; crystal system = trigonal
1.0
2.236 1.291 10.240
-2.236 1.291 10.240
0.000 -2.582 10.240
Li Ca Nd Si
2 2 1 2
direct
0.108 0.108 0.108
0.892 0.892 0.892
0.382 0.382 0.382
0.618 0.618 0.618
0.500 0.500 0.500
0.226 0.226 0.226
0.774 0.774 0.774

***

Entry 3:
HfNb2H6 | Alexandria via LeMat-Bulk | PBE-GGA | optimized geometry; total DFT energy (no corrections) = -5.92 eV per atom; crystal system = monoclinic
1.0
5.160 -2.294 0.000
5.160 2.294 0.000
-1.014 0.000 3.099
Hf Nb H
1 2 6
direct
0.000 0.000 0.000
0.331 0.331 0.331
0.669 0.669 0.669
0.086 0.577 0.832
0.259 0.741 0.500
0.423 0.914 0.168
0.577 0.086 0.832
0.741 0.259 0.500
0.914 0.423 0.168

***

Entry 4:
CsRb2B | Alexandria via LeMat-Bulk | PBE-GGA | optimized geometry; total DFT energy (no corrections) = -1.31 eV per atom; crystal system = tetragonal; E_form = 407 kJ/mol of formula units
1.0
9.774 0.000 0.000
0.000 9.774 0.000
0.000 0.000 13.735
Cs Rb B
4 8 4
direct
0.000 0.000 0.000
0.000 0.500 0.250
0.500 0.000 0.750
0.500 0.500 0.500
0.001 0.750 0.625
0.250 0.001 0.375
0.250 0.499 0.875
0.499 0.750 0.125
0.501 0.250 0.125
0.750 0.501 0.875
0.750 0.999 0.375
0.999 0.250 0.625
0.000 0.000 0.500
0.000 0.500 0.750
0.500 0.000 0.250
0.500 0.500 0.000